# 1
Crystalline Nb4Mo3Os2 at its relaxed geometry. Source: Alexandria via LeMat-Bulk, functional PBE-GGA.

Cell: 4.525 4.525 8.359 Å, 90.00 90.00 60.00°
Positions (direct):
Nb  0.667  0.667  0.891
Nb  0.000  0.000  0.330
Nb  0.000  0.000  0.670
Nb  0.333  0.333  0.109
Mo  0.333  0.333  0.449
Mo  0.000  0.000  0.000
Mo  0.667  0.667  0.551
Os  0.333  0.333  0.778
Os  0.667  0.667  0.222

theoretical density = 11.65 g/cm³
DFT formation energy = -0.186 eV/atom
raw total energy = -10.7671 eV per atom
total magnetic moment = 0.00 Bohr magnetons per cell

=====

# 2
Crystalline AgPSeO2 at its relaxed geometry. Source: Alexandria via LeMat-Bulk, functional PBE-GGA.

Cell: 3.759 3.759 5.159 Å, 90.00 90.00 90.00°
Positions (direct):
O  0.000  0.500  0.000
O  0.500  0.000  0.000
P  0.000  0.000  0.500
Se  0.000  0.000  0.000
Ag  0.500  0.500  0.500

theoretical density = 5.69 g/cm³
formation energy from raw total energies = 0.166 eV per atom
raw total energy = -4.1667 eV per atom
total magnetic moment = 0.00 Bohr magnetons per cell

=====

# 3
Crystalline Nd4GaTeI2 at its relaxed geometry. Source: Alexandria via LeMat-Bulk, functional PBE-GGA.

Cell: 4.451 7.819 8.002 Å, 108.79 90.00 90.00°
Positions (direct):
Nd  0.500  0.261  0.210
Nd  0.500  0.739  0.790
Nd  0.000  0.286  0.796
Nd  0.000  0.714  0.204
Ga  0.500  0.500  0.000
Te  0.000  0.000  0.000
I  0.500  0.000  0.500
I  0.000  0.500  0.500

theoretical density = 6.47 g/cm³
formation energy from raw total energies = -0.992 eV per atom
raw total energy = -4.5344 eV per atom
total magnetic moment = 0.00 Bohr magnetons per cell

=====

# 4
Crystalline Ba2AcSmSe4 at its relaxed geometry. Source: Alexandria via LeMat-Bulk, functional PBE-GGA.

Cell: 4.467 7.724 7.912 Å, 108.99 90.00 90.00°
Positions (direct):
Ba  0.500  0.000  0.500
Ba  0.000  0.500  0.500
Ac  0.500  0.500  0.000
Sm  0.000  0.000  0.000
Se  0.500  0.231  0.223
Se  0.500  0.769  0.777
Se  0.000  0.247  0.771
Se  0.000  0.753  0.229

theoretical density = 6.23 g/cm³
formation energy from raw total energies = -1.920 eV per atom
raw total energy = -5.2466 eV per atom
total magnetic moment = 0.00 Bohr magnetons per cell

=====

# 5
Crystalline Na2Hf2AgSe6 at its relaxed geometry. Source: Alexandria via LeMat-Bulk, functional PBE-GGA.

Cell: 6.799 6.799 7.452 Å, 97.84 97.84 121.48°
Positions (direct):
Na  0.842  0.158  0.000
Na  0.158  0.842  0.000
Hf  0.332  0.668  0.500
Hf  0.668  0.332  0.500
Ag  0.000  0.000  0.500
Se  0.724  0.724  0.712
Se  0.070  0.427  0.721
Se  0.276  0.276  0.288
Se  0.427  0.070  0.721
Se  0.930  0.573  0.279
Se  0.573  0.930  0.279

theoretical density = 5.80 g/cm³
formation energy from raw total energies = -1.036 eV per atom
raw total energy = -5.2454 eV per atom
total magnetic moment = 0.00 Bohr magnetons per cell

=====

# 6
Crystalline LuGaSn at its relaxed geometry. Source: Alexandria via LeMat-Bulk, functional PBE-GGA.

Cell: 3.613 3.613 5.918 Å, 107.78 107.78 90.00°
Positions (direct):
Lu  0.992  0.992  0.985
Sn  0.684  0.684  0.368
Ga  0.324  0.324  0.648

theoretical density = 8.66 g/cm³
DFT formation energy = -0.306 eV/atom
raw total energy = -4.1562 eV per atom
total magnetic moment = 0.00 Bohr magnetons per cell

=====

# 7
Crystalline BaH16O10 at its relaxed geometry. Source: Alexandria via LeMat-Bulk, functional PBE-GGA.

Cell: 6.491 6.491 11.420 Å, 90.22 90.22 89.98°
Positions (direct):
Ba  0.002  0.998  0.750
Ba  0.998  0.002  0.250
H  0.718  0.597  0.644
H  0.849  0.667  0.531
H  0.275  0.403  0.648
H  0.035  0.459  0.627
H  0.401  0.720  0.644
H  0.332  0.849  0.531
H  0.541  0.036  0.626
H  0.595  0.276  0.647
H  0.276  0.595  0.147
H  0.036  0.541  0.126
H  0.720  0.401  0.144
H  0.849  0.332  0.031
H  0.597  0.718  0.144
H  0.667  0.849  0.031
H  0.403  0.275  0.148
H  0.459  0.035  0.127
H  0.282  0.403  0.356
H  0.151  0.333  0.469
H  0.725  0.597  0.352
H  0.965  0.541  0.373
H  0.599  0.280  0.356
H  0.668  0.151  0.469
H  0.459  0.964  0.374
H  0.405  0.724  0.353
H  0.964  0.459  0.874
H  0.724  0.405  0.853
H  0.280  0.599  0.856
H  0.151  0.668  0.969
H  0.403  0.282  0.856
H  0.333  0.151  0.969
H  0.541  0.965  0.873
H  0.597  0.725  0.852
O  0.498  0.497  0.685
O  0.497  0.498  0.185
O  0.502  0.503  0.315
O  0.503  0.502  0.815
O  0.856  0.656  0.618
O  0.137  0.343  0.621
O  0.342  0.857  0.618
O  0.656  0.139  0.621
O  0.139  0.656  0.121
O  0.857  0.342  0.118
O  0.656  0.856  0.118
O  0.343  0.137  0.121
O  0.144  0.344  0.382
O  0.863  0.657  0.379
O  0.658  0.143  0.382
O  0.344  0.861  0.379
O  0.861  0.344  0.879
O  0.143  0.658  0.882
O  0.344  0.144  0.882
O  0.657  0.863  0.879

theoretical density = 2.16 g/cm³
raw total energy = -5.0556 eV per atom
total magnetic moment = 0.26 Bohr magnetons per cell

=====

# 8
Crystalline La2CdPb at its relaxed geometry. Source: Alexandria via LeMat-Bulk, functional PBE-GGA.

Cell: 4.486 3.682 8.372 Å, 63.96 90.00 90.00°
Positions (direct):
Pb  0.500  0.250  0.250
Cd  0.500  0.750  0.750
La  0.000  0.000  0.000
La  0.000  0.500  0.500

theoretical density = 7.98 g/cm³
DFT formation energy = -0.475 eV/atom
raw total energy = -4.0942 eV per atom
total magnetic moment = 0.00 Bohr magnetons per cell

=====

# 9
Crystalline CaPrAsAu at its relaxed geometry. Source: Alexandria via LeMat-Bulk, functional PBE-GGA.

Cell: 5.215 5.215 5.215 Å, 60.00 60.00 60.00°
Positions (direct):
Pr  0.250  0.250  0.250
As  0.500  0.500  0.500
Au  0.000  0.000  0.000
Ca  0.750  0.750  0.750

theoretical density = 7.50 g/cm³
DFT formation energy = -0.904 eV/atom
raw total energy = -4.5810 eV per atom
total magnetic moment = 0.00 Bohr magnetons per cell

=====

# 10
Crystalline AlSbRu2 at its relaxed geometry. Source: Alexandria via LeMat-Bulk, functional PBE-GGA.

Cell: 4.137 4.137 8.982 Å, 76.69 76.69 90.00°
Positions (direct):
Sb  0.000  0.000  0.000
Sb  0.750  0.250  0.500
Al  0.500  0.500  0.000
Al  0.250  0.750  0.500
Ru  0.573  0.125  0.250
Ru  0.177  0.625  0.250
Ru  0.375  0.427  0.750
Ru  0.875  0.823  0.750

theoretical density = 8.02 g/cm³
formation energy from raw total energies = 0.268 eV per atom
raw total energy = -6.3359 eV per atom
total magnetic moment = 0.00 Bohr magnetons per cell

=====

# 11
Crystalline TlZn2C at its relaxed geometry. Source: Alexandria via LeMat-Bulk, functional PBE-GGA.

Cell: 4.570 4.570 4.570 Å, 60.00 60.00 60.00°
Positions (direct):
C  0.000  0.000  0.000
Tl  0.500  0.500  0.500
Zn  0.250  0.250  0.250
Zn  0.750  0.750  0.750

theoretical density = 8.55 g/cm³
DFT formation energy = 1.406 eV/atom
raw total energy = -2.1283 eV per atom
total magnetic moment = 0.00 Bohr magnetons per cell

=====

# 12
Crystalline BaSiAg3 at its relaxed geometry. Source: Alexandria via LeMat-Bulk, functional PBE-GGA.

Cell: 5.015 5.015 5.015 Å, 90.00 90.00 90.00°
Positions (direct):
Si  0.000  0.000  0.000
Ba  0.500  0.500  0.500
Ag  0.000  0.500  0.000
Ag  0.000  0.000  0.500
Ag  0.500  0.000  0.000

theoretical density = 6.44 g/cm³
formation energy from raw total energies = -0.097 eV per atom
raw total energy = -3.2771 eV per atom
total magnetic moment = 0.00 Bohr magnetons per cell